Entry 1:
A relaxed structure of Rb2NiAsO4. Source: Alexandria via LeMat-Bulk, functional GGA+U.

Cell lengths 5.439, 5.579, 6.230 Å; angles 98.40, 111.19, 115.21 degrees
Space group P1 (No. 1)
Symmetry-distinct sites (fractional):
Rb 0.000 0.000 0.000 [1 per cell]
Rb 0.462 0.250 0.734 [1 per cell]
Ni 0.905 0.436 0.413 [1 per cell]
As 0.501 0.768 0.305 [1 per cell]
O 0.174 0.729 0.323 [1 per cell]
O 0.439 0.739 0.011 [1 per cell]
O 0.564 0.511 0.396 [1 per cell]
O 0.813 0.101 0.519 [1 per cell]

E_tot: -4.94 eV/atom

Entry 2:
A relaxed structure of LiP4WO13. Source: Alexandria via LeMat-Bulk, functional GGA+U.

Cell lengths 5.232, 8.003, 14.208 Å; angles 83.89, 87.27, 80.13 degrees
Space group P1 (No. 1)
Symmetry-distinct sites (fractional):
Li 0.000 0.000 0.000 [1 per cell]
Li 0.487 0.100 0.510 [1 per cell]
P 0.130 0.940 0.675 [1 per cell]
P 0.182 0.818 0.204 [1 per cell]
P 0.357 0.753 0.854 [1 per cell]
P 0.486 0.392 0.652 [1 per cell]
P 0.503 0.598 0.345 [1 per cell]
P 0.631 0.250 0.137 [1 per cell]
P 0.807 0.183 0.793 [1 per cell]
P 0.856 0.065 0.316 [1 per cell]
W 0.068 0.425 0.238 [1 per cell]
W 0.921 0.576 0.752 [1 per cell]
O 0.007 0.881 0.295 [1 per cell]
O 0.057 0.188 0.304 [1 per cell]
O 0.065 0.665 0.177 [1 per cell]
O 0.193 0.613 0.839 [1 per cell]
O 0.194 0.956 0.128 [1 per cell]
O 0.197 0.479 0.666 [1 per cell]
O 0.268 0.966 0.584 [1 per cell]
O 0.298 0.835 0.942 [1 per cell]
O 0.327 0.889 0.760 [1 per cell]
O 0.338 0.336 0.148 [1 per cell]
O 0.343 0.457 0.326 [1 per cell]
O 0.449 0.672 0.436 [1 per cell]
O 0.454 0.741 0.252 [1 per cell]
O 0.529 0.259 0.749 [1 per cell]
O 0.533 0.300 0.567 [1 per cell]
O 0.649 0.666 0.840 [1 per cell]
O 0.655 0.531 0.664 [1 per cell]
O 0.660 0.115 0.231 [1 per cell]
O 0.697 0.166 0.049 [1 per cell]
O 0.716 0.052 0.408 [1 per cell]
O 0.792 0.391 0.152 [1 per cell]
O 0.795 0.518 0.326 [1 per cell]
O 0.802 0.044 0.870 [1 per cell]
O 0.926 0.338 0.817 [1 per cell]
O 0.938 0.811 0.684 [1 per cell]
O 0.970 0.120 0.700 [1 per cell]

E_tot: -7.13 eV/atom
distance to the lowest polymorph of the same formula: 0.004 eV per atom